Compound: DyZn11Rh
Source: Alexandria
Functional: PBE-GGA
Structure: relaxed

a = 5.1791 Å, b = 12.7020 Å, c = 6.6990 Å
α = 90.00°, β = 111.52°, γ = 90.00°
With the nearest neighbours (Å) after each atom.
Space group C2/m (No. 12)
Symmetry-distinct sites (fractional):
Dy (0.0000, 0.0000, 0.0000) (multiplicity 2)  18 Zn 3.12-3.43, 2 Rh 3.35
Zn (0.0000, 0.5000, 0.5000) (multiplicity 2)  8 Zn 2.57-2.77, 2 Rh 2.59
Zn (0.1078, 0.3918, 0.2153) (multiplicity 8)  7 Zn 2.57-2.81, 1 Rh 2.61
Zn (0.1597, 0.1738, 0.3546) (multiplicity 8)  8 Zn 2.66-2.92, 1 Rh 2.66
Zn (0.2500, 0.2500, 0.0000) (multiplicity 4)  10 Zn 2.58-2.76
Rh (0.0000, 0.0000, 0.5000) (multiplicity 2)  10 Zn 2.59-2.66

Computed properties:
* raw total energy: -58.33 eV for the cell shown
* formation enthalpy at 0 K: -0.2458 eV/atom

***

Compound: DyZn3Rh4
Source: Alexandria
Functional: PBE-GGA
Structure: relaxed

a = 4.3854 Å, b = 4.3854 Å, c = 6.3471 Å
α = 90.00°, β = 90.00°, γ = 90.00°
With the nearest neighbours (Å) after each atom.
Space group P4/mmm (No. 123)
Symmetry-distinct sites (fractional):
Dy (0.0000, 0.0000, 0.0000) (multiplicity 1)  8 Rh 2.78, 4 Zn 3.10
Zn (0.0000, 0.0000, 0.5000) (multiplicity 1)  8 Rh 2.63
Zn (0.5000, 0.5000, 0.0000) (multiplicity 1)  8 Rh 2.78, 4 Dy 3.10
Zn (0.5000, 0.5000, 0.5000) (multiplicity 1)  8 Rh 2.63
Rh (0.0000, 0.5000, 0.2703) (multiplicity 4)  6 Zn 2.63-2.78, 2 Dy 2.78, 1 Rh 2.92

Computed properties:
* raw total energy: -42.04 eV for the cell shown
* formation enthalpy at 0 K: -0.5264 eV/atom

***

Compound: Dy3ZnRh
Source: Alexandria
Functional: PBE-GGA
Structure: relaxed

a = 13.6662 Å, b = 10.6733 Å, c = 7.2079 Å
α = 90.00°, β = 90.00°, γ = 90.00°
With the nearest neighbours (Å) after each atom.
Space group Cmcm (No. 63)
Symmetry-distinct sites (fractional):
Dy (0.1277, 0.0000, 0.0000) (multiplicity 8)  2 Rh 2.74
Dy (0.1318, 0.3316, 0.0079) (multiplicity 16)  2 Rh 2.74-2.88
Zn (0.0000, 0.1759, 0.7500) (multiplicity 4)  8 Dy 3.08-3.13, 1 Zn 3.35
Zn (0.0000, 0.4900, 0.7500) (multiplicity 4)  8 Dy 3.09-3.15, 1 Zn 3.35
Rh (0.2215, 0.1510, 0.2500) (multiplicity 8)  6 Dy 2.74-2.88

Computed properties:
* raw total energy: -194.71 eV for the cell shown
* formation enthalpy at 0 K: -0.3815 eV/atom

***

Compound: DyZn4Rh
Source: Alexandria
Functional: PBE-GGA
Structure: relaxed

a = 7.2522 Å, b = 7.2522 Å, c = 7.2522 Å
α = 90.00°, β = 90.00°, γ = 90.00°
With the nearest neighbours (Å) after each atom.
Space group F-43m (No. 216)
Symmetry-distinct sites (fractional):
Dy (0.0000, 0.0000, 0.0000) (multiplicity 4)  12 Zn 3.01, 4 Rh 3.14
Zn (0.1237, 0.1237, 0.3763) (multiplicity 16)  6 Zn 2.54-2.59
Rh (0.2500, 0.2500, 0.7500) (multiplicity 4)  12 Zn 3.00, 4 Dy 3.14

Computed properties:
* raw total energy: -79.37 eV for the cell shown
* formation enthalpy at 0 K: -0.4654 eV/atom